No. 1
The following is a DFT calculation (PBE-GGA) of CsRb2NaCd after structural relaxation.

CIF file:
```
data_CsRb2NaCd
_chemical_formula_sum 'Cs1 Rb2 Na1 Cd1'
_cell_length_a 7.497
_cell_length_b 7.497
_cell_length_c 6.162
_cell_angle_alpha 90.00
_cell_angle_beta 90.00
_cell_angle_gamma 90.00
_space_group_name_H-M_alt 'P 1'
_space_group_IT_number 1
loop_
_space_group_symop_operation_xyz
'x,y,z'
loop_
_atom_site_label
_atom_site_fract_x
_atom_site_fract_y
_atom_site_fract_z
Cs1 0.000 0.000 0.000
Rb1 0.000 0.500 0.500
Rb2 0.500 0.000 0.500
Na1 0.500 0.500 0.500
Cd1 0.500 0.500 0.000
```

=====

No. 2
The following is a DFT calculation (PBE-GGA) of Cs2RbNaCd after structural relaxation.

CIF file:
```
data_Cs2RbNaCd
_chemical_formula_sum 'Cs2 Rb1 Na1 Cd1'
_cell_length_a 7.600
_cell_length_b 7.600
_cell_length_c 6.379
_cell_angle_alpha 90.00
_cell_angle_beta 90.00
_cell_angle_gamma 90.00
_space_group_name_H-M_alt 'P 1'
_space_group_IT_number 1
loop_
_space_group_symop_operation_xyz
'x,y,z'
loop_
_atom_site_label
_atom_site_fract_x
_atom_site_fract_y
_atom_site_fract_z
Cs1 0.000 0.500 0.000
Cs2 0.500 0.000 0.000
Rb1 0.000 0.000 0.500
Na1 0.500 0.500 0.500
Cd1 0.500 0.500 0.000
```

=====

Table of calculated volume (A^3/atom), in record order: 69.3 73.7
Table of formation enthalpy at 0 K (meV/atom), in record order: 104.6 41.8